ZnAg2Au at its PBEsol-relaxed geometry, computed with meta-GGA SCAN.

Unit cell a=6.3427 b=6.3427 c=6.3427 alpha=90.00 beta=90.00 gamma=90.00
Atoms (fractional coordinates):
1 Zn 0.0000 0.0000 0.0000
2 Zn 0.0000 0.5000 0.5000
3 Zn 0.5000 0.0000 0.5000
4 Zn 0.5000 0.5000 0.0000
5 Ag 0.0000 0.0000 0.5000
6 Ag 0.0000 0.5000 0.0000
7 Ag 0.2500 0.2500 0.2500
8 Ag 0.2500 0.7500 0.7500
9 Ag 0.5000 0.0000 0.0000
10 Ag 0.5000 0.5000 0.5000
11 Ag 0.7500 0.2500 0.7500
12 Ag 0.7500 0.7500 0.2500
13 Au 0.2500 0.2500 0.7500
14 Au 0.2500 0.7500 0.2500
15 Au 0.7500 0.2500 0.2500
16 Au 0.7500 0.7500 0.7500

## Properties
- VASP energy (eV per atom) = -36.44
- density of states at the Fermi level (states/eV per atom) = 0.143